# Ho5Ga3 (PBE, optimized geometry)
data_Ho5Ga3
_space_group_name_H-M_alt 'I 4/m c m'
_space_group_IT_number 140
_space_group_name_Hall '-I 4 2c'
_cell_length_a 7.578
_cell_length_b 7.578
_cell_length_c 14.153
_cell_angle_alpha 90.00
_cell_angle_beta 90.00
_cell_angle_gamma 90.00
loop_
_atom_site_label
_atom_site_type_symbol
_atom_site_fract_x
_atom_site_fract_y
_atom_site_fract_z
Ho1 Ho 0.000 0.000 0.000
Ho2 Ho 0.170 0.330 0.148
Ga1 Ga 0.000 0.000 0.250
Ga2 Ga 0.122 0.378 0.500
# Distance to the lowest polymorph of the same formula in meV/atom: 5